--- one ---
Crystalline Tm12Co6Ag at its relaxed geometry, computed with PBE.

Unit cell a=8.211 b=8.211 c=8.211 alpha=109.47 beta=109.47 gamma=109.47
Sites, in units of the cell vectors:
Tm (0.194, 0.698, 0.893)
Co (0.115, 0.615, 0.500)
Co (0.500, 0.885, 0.385)
Tm (0.496, 0.194, 0.302)
Co (0.885, 0.385, 0.500)
Tm (0.194, 0.302, 0.496)
Tm (0.504, 0.806, 0.698)
Ag (0.000, 0.000, 0.000)
Tm (0.893, 0.194, 0.698)
Tm (0.107, 0.806, 0.302)
Co (0.615, 0.500, 0.115)
Co (0.500, 0.115, 0.615)
Tm (0.698, 0.893, 0.194)
Tm (0.302, 0.107, 0.806)
Tm (0.698, 0.504, 0.806)
Tm (0.302, 0.496, 0.194)
Tm (0.806, 0.698, 0.504)
Co (0.385, 0.500, 0.885)
Tm (0.806, 0.302, 0.107)

Properties
The volume comes out at 22.43 Å³/atom. For the total magnetic moment, the calculation gives 0.001 μB per formula unit. As for the crystal system: cubic.

=====

--- two ---
Crystalline Tm12Co6Ag at its relaxed geometry, computed with PBE.

Unit cell a=8.219 b=8.219 c=8.219 alpha=108.60 beta=108.60 gamma=108.60
Sites, in units of the cell vectors:
Tm (0.148, 0.666, 0.964)
Tm (0.550, 0.850, 0.606)
Co (0.786, 0.366, 0.714)
Co (0.214, 0.634, 0.286)
Tm (0.606, 0.550, 0.850)
Tm (0.666, 0.964, 0.148)
Tm (0.852, 0.334, 0.036)
Co (0.634, 0.286, 0.214)
Tm (0.150, 0.394, 0.450)
Tm (0.964, 0.148, 0.666)
Tm (0.450, 0.150, 0.394)
Co (0.286, 0.214, 0.634)
Ag (0.000, 0.000, 0.000)
Tm (0.334, 0.036, 0.852)
Co (0.714, 0.786, 0.366)
Co (0.366, 0.714, 0.786)
Tm (0.394, 0.450, 0.150)
Tm (0.036, 0.852, 0.334)
Tm (0.850, 0.606, 0.550)

Properties
The volume comes out at 23.19 Å³/atom. For the total magnetic moment, the calculation gives 0.000 μB per formula unit. As for the crystal system: trigonal.

=====

Going by the energies, one is most stable and the next is 12.0 kJ/mol of atoms up.

=====

--- one ---
Crystalline YTmCoAg at its relaxed geometry, computed with PBE.

Unit cell a=4.915 b=4.915 c=4.915 alpha=60.00 beta=60.00 gamma=60.00
Each line ends with the local moment (μB).
Sites, in units of the cell vectors:
Ag (0.000, 0.000, 0.000)  0.00
Tm (0.250, 0.250, 0.250)  -0.12
Co (0.500, 0.500, 0.500)  0.67
Y (0.750, 0.750, 0.750)  -0.08

Properties
The volume comes out at 20.99 Å³/atom. For the total magnetic moment, the calculation gives 0.385 μB per formula unit. As for the crystal system: cubic.

=====

--- two ---
Crystalline YTmCoAg at its relaxed geometry, computed with PBE.

Unit cell a=3.359 b=3.359 c=7.467 alpha=90.00 beta=90.00 gamma=90.00
Each line ends with the local moment (μB).
Sites, in units of the cell vectors:
Ag (0.000, 0.000, 0.079)  0.01
Co (0.000, 0.000, 0.564)  0.83
Y (0.500, 0.500, 0.791)  -0.06
Tm (0.500, 0.500, 0.351)  -0.10

Properties
The volume comes out at 21.07 Å³/atom. For the total magnetic moment, the calculation gives 0.644 μB per formula unit. As for the crystal system: tetragonal.

=====

Going by the energies, two is most stable and the next is 6.3 kJ/mol of atoms up.

=====

--- one ---
Crystalline VCo2Ag at its relaxed geometry, computed with PBE.

Unit cell a=4.163 b=4.163 c=4.163 alpha=60.00 beta=60.00 gamma=60.00
Sites, in units of the cell vectors:
Ag (0.500, 0.500, 0.500)
Co (0.750, 0.750, 0.750)
Co (0.250, 0.250, 0.250)
V (0.000, 0.000, 0.000)

Properties
The volume comes out at 12.76 Å³/atom. For the total magnetic moment, the calculation gives 0.000 μB per formula unit. As for the crystal system: cubic.

=====

--- two ---
Crystalline VCo2Ag at its relaxed geometry, computed with PBE.

Unit cell a=6.475 b=6.475 c=5.290 alpha=52.27 beta=52.27 gamma=90.00
Sites, in units of the cell vectors:
Co (0.584, 0.125, 0.250)
V (0.500, 0.500, 0.000)
Ag (0.000, 0.000, 0.000)
V (0.250, 0.750, 0.500)
Co (0.166, 0.625, 0.250)
Co (0.875, 0.834, 0.750)
Co (0.375, 0.416, 0.750)
Ag (0.750, 0.250, 0.500)

Properties
The volume comes out at 13.89 Å³/atom. For the total magnetic moment, the calculation gives 0.000 μB per formula unit. As for the crystal system: tetragonal.

=====

Going by the energies, one is most stable and the next is 23.1 kJ/mol of atoms up.

=====

--- one ---
Crystalline V2CoAg at its relaxed geometry, computed with PBE.

Unit cell a=3.631 b=3.631 c=9.253 alpha=78.69 beta=78.69 gamma=90.00
Each line ends with the local moment (μB).
Sites, in units of the cell vectors:
V (0.875, 0.851, 0.750)  -0.01
V (0.149, 0.625, 0.250)  -0.01
Co (0.500, 0.500, 0.000)  0.06
Ag (0.750, 0.250, 0.500)  0.00
V (0.601, 0.125, 0.250)  -0.01
Co (0.250, 0.750, 0.500)  0.06
Ag (0.000, 0.000, 0.000)  0.00
V (0.375, 0.399, 0.750)  -0.01

Properties
The volume comes out at 14.65 Å³/atom. For the total magnetic moment, the calculation gives 0.032 μB per formula unit. As for the crystal system: tetragonal.

=====

--- two ---
Crystalline V2CoAg at its relaxed geometry, computed with PBE.

Unit cell a=4.308 b=4.308 c=4.308 alpha=60.00 beta=60.00 gamma=60.00
Each line ends with the local moment (μB).
Sites, in units of the cell vectors:
V (0.750, 0.750, 0.750)  0.63
Co (0.000, 0.000, 0.000)  1.29
V (0.250, 0.250, 0.250)  0.63
Ag (0.500, 0.500, 0.500)  0.04

Properties
The volume comes out at 14.14 Å³/atom. For the total magnetic moment, the calculation gives 2.715 μB per formula unit. As for the crystal system: cubic.

=====

Going by the energies, two is most stable and the next is 27.7 kJ/mol of atoms up.

=====

--- one ---
Crystalline CoAgW2 at its relaxed geometry, computed with PBE.

Unit cell a=2.710 b=2.710 c=8.805 alpha=90.00 beta=90.00 gamma=107.79
Each line ends with the local moment (μB).
Sites, in units of the cell vectors:
W (0.500, 0.500, 0.238)  0.01
Co (0.500, 0.500, 0.763)  1.34
W (0.000, 0.000, 0.984)  0.00
Ag (0.000, 0.000, 0.514)  0.01

Properties
The volume comes out at 15.39 Å³/atom. For the total magnetic moment, the calculation gives 1.363 μB per formula unit. As for the crystal system: orthorhombic.

=====

--- two ---
Crystalline CoAgW2 at its relaxed geometry, computed with PBE.

Unit cell a=2.732 b=2.732 c=8.110 alpha=90.00 beta=90.00 gamma=90.00
Each line ends with the local moment (μB).
Sites, in units of the cell vectors:
Co (0.500, 0.500, 0.767)  0.47
W (0.500, 0.500, 0.245)  0.02
Ag (0.000, 0.000, 0.520)  0.02
W (0.000, 0.000, 0.968)  -0.01

Properties
The volume comes out at 15.13 Å³/atom. For the total magnetic moment, the calculation gives 0.507 μB per formula unit. As for the crystal system: tetragonal.

=====

--- three ---
Crystalline CoAgW2 at its relaxed geometry, computed with PBE.

Unit cell a=9.365 b=9.365 c=9.365 alpha=16.96 beta=16.96 gamma=16.96
Each line ends with the local moment (μB).
Sites, in units of the cell vectors:
Ag (0.750, 0.750, 0.750)  0.00
Co (0.250, 0.250, 0.250)  0.44
W (0.508, 0.508, 0.508)  -0.04
W (0.992, 0.992, 0.992)  -0.04

Properties
The volume comes out at 15.24 Å³/atom. For the total magnetic moment, the calculation gives 0.341 μB per formula unit. As for the crystal system: trigonal.

=====

Going by the energies, one is most stable and the next is 2.3 kJ/mol of atoms up.